Material: EuMgSbAu
Method: DFT, PBE-GGA
State: relaxed

It has space group F-43m (No. 216), with a = 7.350 Å, b = 7.350 Å, c = 7.350 Å, α = 90.00°, β = 90.00° and γ = 90.00°. The asymmetric unit holds Eu at (0.000, 0.000, 0.000), Mg at (0.000, 0.000, 0.500), Sb at (0.250, 0.250, 0.250) and Au at (0.250, 0.250, 0.750).

The uncorrected formation energy comes out at -0.65 eV per atom. As for the density: 8.28 g/cm3.

---

Material: GdPuMn2
Method: DFT, PBE-GGA
State: relaxed

It has space group Fm-3m (No. 225), with a = 6.801 Å, b = 6.801 Å, c = 6.801 Å, α = 90.00°, β = 90.00° and γ = 90.00°. The asymmetric unit holds Gd at (0.000, 0.000, 0.000), Pu at (0.000, 0.000, 0.500) and Mn at (0.250, 0.250, 0.250).

As for the energy of formation from the pure elements: 0.181 eV/atom. Its energy above the most stable polymorph in this dataset is 126.8 meV/atom. As for the density: 10.79 g/cm3.

---

Material: Er6AlCu
Method: DFT, PBE-GGA
State: relaxed

It has space group Fmmm (No. 69), with a = 7.004 Å, b = 7.015 Å, c = 17.200 Å, α = 90.00°, β = 90.00° and γ = 90.00°. The asymmetric unit holds Er at (0.000, 0.000, 0.248), Er at (0.250, 0.250, 0.104), Al at (0.000, 0.000, 0.000) and Cu at (0.000, 0.000, 0.500).

As for the energy of formation from the pure elements: -0.130 eV/atom. As for the density: 8.60 g/cm3.

---

Material: Dy2OsCl
Method: DFT, PBE-GGA
State: relaxed

It has space group R-3m (No. 166, hexagonal axes), with a = 3.9571 Å, b = 3.9571 Å, c = 22.2897 Å, α = 90.00°, β = 90.00° and γ = 120.00°. The asymmetric unit holds Dy at (0.0000, 0.0000, 0.2350), Os at (0.0000, 0.0000, 0.5000) and Cl at (0.0000, 0.0000, 0.0000).

The uncorrected formation energy comes out at -0.72 eV per atom. Its energy above the most stable polymorph in this dataset is 185.0 meV/atom. As for the density: 9.08 g/cm3.

---

What did we get for E_tot? Answer: -5.47 -11.51 -4.53 -6.29 eV/atom, in the order shown.